5
Lattice="5.079 0.000 0.000 0.000 4.875 0.000 0.000 0.000 5.079" Properties=species:S:1:pos:R:3 comment="PBE-GGA CaZr2PdSe, relaxed" raw_formation_energy_mev_per_atom=-145 final_energy_ev_per_atom=-5.700 m_tot_mub_per_cell=0.00 space_group="P4/mmm (123)" pbc="T T T"
Ca 2.540 2.438 2.540
Se 0.000 0.000 0.000
Zr 0.000 0.000 2.540
Zr 2.540 0.000 0.000
Pd 0.000 2.438 0.000